No. 1
# GGA-PBE KMgZr2, relaxed
# - total DFT energy (no corrections) (eV/atom) = -3.89
# - SG = I-42d, No. 122
# - D(E_F) (states/eV per cell) = 8.7
# - total magnetization (μB per atom) = 0.00
# - density (g cm⁻³) = 3.70
# - ΔH_f (0 K) (meV per atom) = 1059.1
data_KMgZr2
_chemical_formula_sum 'K2 Mg2 Zr4'
_cell_length_a 6.7945
_cell_length_b 6.7945
_cell_length_c 6.7945
_cell_angle_alpha 100.75
_cell_angle_beta 100.75
_cell_angle_gamma 128.82
_space_group_name_H-M_alt 'P 1'
_space_group_IT_number 1
loop_
_space_group_symop_operation_xyz
'x,y,z'
loop_
_atom_site_label
_atom_site_type_symbol
_atom_site_fract_x
_atom_site_fract_y
_atom_site_fract_z
_atom_site_occupancy
K1 K 0.0000 0.0000 0.0000 1
K2 K 0.7500 0.2500 0.5000 1
Mg1 Mg 0.2500 0.7500 0.5000 1
Mg2 Mg 0.5000 0.5000 0.0000 1
Zr1 Zr 0.1395 0.1250 0.5145 1
Zr2 Zr 0.3750 0.8605 0.9855 1
Zr3 Zr 0.6105 0.6250 0.4855 1
Zr4 Zr 0.8750 0.3895 0.0145 1

=====

No. 2
# GGA-PBE LiRuO3, relaxed
# - uncorrected formation energy (meV/atom) = -1030
# - total DFT energy (no corrections) (eV/atom) = -6.24
# - SG = Pm-3m, No. 221
# - D(E_F) (states/eV per cell) = 4.0
# - total magnetization (μB per atom) = 0.17
# - density (g cm⁻³) = 4.53
data_LiRuO3
_chemical_formula_sum 'Li1 Ru1 O3'
_cell_length_a 3.8537
_cell_length_b 3.8537
_cell_length_c 3.8537
_cell_angle_alpha 90.00
_cell_angle_beta 90.00
_cell_angle_gamma 90.00
_space_group_name_H-M_alt 'P 1'
_space_group_IT_number 1
loop_
_space_group_symop_operation_xyz
'x,y,z'
loop_
_atom_site_label
_atom_site_type_symbol
_atom_site_fract_x
_atom_site_fract_y
_atom_site_fract_z
_atom_site_occupancy
Li1 Li 0.0000 0.0000 0.0000 1
Ru1 Ru 0.5000 0.5000 0.5000 1
O1 O 0.0000 0.5000 0.5000 1
O2 O 0.5000 0.0000 0.5000 1
O3 O 0.5000 0.5000 0.0000 1

=====

No. 3
# GGA-PBE Zr4Tl2Bi, relaxed
# - total DFT energy (no corrections) (eV/atom) = -6.19
# - SG = P2_1/m, No. 11
# - D(E_F) (states/eV per cell) = 14.3
# - total magnetization (μB per atom) = 0.06
# - density (g cm⁻³) = 9.46
# - ΔH_f (0 K) (meV per atom) = -74.6
data_Zr4Tl2Bi
_chemical_formula_sum 'Zr8 Tl4 Bi2'
_cell_length_a 5.7284
_cell_length_b 6.0122
_cell_length_c 10.1106
_cell_angle_alpha 90.00
_cell_angle_beta 97.86
_cell_angle_gamma 90.00
_space_group_name_H-M_alt 'P 1'
_space_group_IT_number 1
loop_
_space_group_symop_operation_xyz
'x,y,z'
loop_
_atom_site_label
_atom_site_type_symbol
_atom_site_fract_x
_atom_site_fract_y
_atom_site_fract_z
_atom_site_occupancy
Zr1 Zr 0.0356 0.2500 0.2069 1
Zr2 Zr 0.1291 0.7500 0.4527 1
Zr3 Zr 0.4124 0.5006 0.7284 1
Zr4 Zr 0.4124 0.9994 0.7284 1
Zr5 Zr 0.5876 0.0006 0.2716 1
Zr6 Zr 0.5876 0.4994 0.2716 1
Zr7 Zr 0.8709 0.2500 0.5473 1
Zr8 Zr 0.9644 0.7500 0.7931 1
Tl1 Tl 0.3342 0.2500 0.4659 1
Tl2 Tl 0.4934 0.2500 0.0097 1
Tl3 Tl 0.5066 0.7500 0.9903 1
Tl4 Tl 0.6658 0.7500 0.5341 1
Bi1 Bi 0.0451 0.7500 0.1494 1
Bi2 Bi 0.9549 0.2500 0.8506 1

=====

No. 4
# GGA-PBE Ca3ReHg, relaxed
# - total DFT energy (no corrections) (eV/atom) = -2.72
# - relative energy among the computed polymorphs (meV/atom) = 453.4
# - SG = Pm-3m, No. 221
# - D(E_F) (states/eV per cell) = 4.6
# - total magnetization (μB per atom) = 0.69
# - density (g cm⁻³) = 4.60
# - ΔH_f (0 K) (meV per atom) = 1031.8
data_Ca3ReHg
_chemical_formula_sum 'Ca3 Re1 Hg1'
_cell_length_a 5.6776
_cell_length_b 5.6776
_cell_length_c 5.6776
_cell_angle_alpha 90.00
_cell_angle_beta 90.00
_cell_angle_gamma 90.00
_space_group_name_H-M_alt 'P 1'
_space_group_IT_number 1
loop_
_space_group_symop_operation_xyz
'x,y,z'
loop_
_atom_site_label
_atom_site_type_symbol
_atom_site_fract_x
_atom_site_fract_y
_atom_site_fract_z
_atom_site_occupancy
Ca1 Ca 0.0000 0.0000 0.5000 1
Ca2 Ca 0.0000 0.5000 0.0000 1
Ca3 Ca 0.5000 0.0000 0.0000 1
Re1 Re 0.5000 0.5000 0.5000 1
Hg1 Hg 0.0000 0.0000 0.0000 1

=====

No. 5
# GGA-PBE PrHfRh, relaxed
# - total DFT energy (no corrections) (eV/atom) = -7.96
# - relative energy among the computed polymorphs (meV/atom) = 0.0
# - SG = P4/nmm, No. 129
# - D(E_F) (states/eV per cell) = 5.7
# - total magnetization (μB per atom) = 0.00
# - density (g cm⁻³) = 9.63
# - ΔH_f (0 K) (meV per atom) = -598.8
data_PrHfRh
_chemical_formula_sum 'Pr2 Hf2 Rh2'
_cell_length_a 4.6439
_cell_length_b 4.6439
_cell_length_c 6.7546
_cell_angle_alpha 90.00
_cell_angle_beta 90.00
_cell_angle_gamma 90.00
_space_group_name_H-M_alt 'P 1'
_space_group_IT_number 1
loop_
_space_group_symop_operation_xyz
'x,y,z'
loop_
_atom_site_label
_atom_site_type_symbol
_atom_site_fract_x
_atom_site_fract_y
_atom_site_fract_z
_atom_site_occupancy
Pr1 Pr 0.2500 0.2500 0.1259 1
Pr2 Pr 0.7500 0.7500 0.8741 1
Hf1 Hf 0.2500 0.7500 0.5000 1
Hf2 Hf 0.7500 0.2500 0.5000 1
Rh1 Rh 0.2500 0.2500 0.6956 1
Rh2 Rh 0.7500 0.7500 0.3044 1

=====

No. 6
# GGA-PBE PIrSe2, relaxed
# - uncorrected formation energy (meV/atom) = -73
# - total DFT energy (no corrections) (eV/atom) = -5.38
# - SG = Pm, No. 6
# - D(E_F) (states/eV per cell) = 2.0
# - total magnetization (μB per atom) = 0.00
# - density (g cm⁻³) = 8.45
data_PIrSe2
_chemical_formula_sum 'P1 Ir1 Se2'
_cell_length_a 4.8503
_cell_length_b 3.6106
_cell_length_c 4.8690
_cell_angle_alpha 90.00
_cell_angle_beta 118.62
_cell_angle_gamma 90.00
_space_group_name_H-M_alt 'P 1'
_space_group_IT_number 1
loop_
_space_group_symop_operation_xyz
'x,y,z'
loop_
_atom_site_label
_atom_site_type_symbol
_atom_site_fract_x
_atom_site_fract_y
_atom_site_fract_z
_atom_site_occupancy
P1 P 0.0000 0.0000 0.0000 1
Ir1 Ir 0.6467 0.5000 0.8394 1
Se1 Se 0.2155 0.0000 0.6299 1
Se2 Se 0.5352 0.5000 0.2849 1

=====

No. 7
# GGA-PBE FeCuSb, relaxed
# - uncorrected formation energy (meV/atom) = 146
# - total DFT energy (no corrections) (eV/atom) = -5.41
# - SG = Pm, No. 6
# - D(E_F) (states/eV per cell) = 4.8
# - total magnetization (μB per atom) = 0.00
# - density (g cm⁻³) = 8.18
data_FeCuSb
_chemical_formula_sum 'Fe2 Cu2 Sb2'
_cell_length_a 4.1875
_cell_length_b 5.5811
_cell_length_c 4.1876
_cell_angle_alpha 90.00
_cell_angle_beta 90.02
_cell_angle_gamma 90.00
_space_group_name_H-M_alt 'P 1'
_space_group_IT_number 1
loop_
_space_group_symop_operation_xyz
'x,y,z'
loop_
_atom_site_label
_atom_site_type_symbol
_atom_site_fract_x
_atom_site_fract_y
_atom_site_fract_z
_atom_site_occupancy
Fe1 Fe 0.0000 0.2500 0.0000 1
Fe2 Fe 0.0000 0.7500 0.0000 1
Cu1 Cu 0.0049 0.0000 0.4997 1
Cu2 Cu 0.5001 0.5000 0.0089 1
Sb1 Sb 0.5002 0.0000 0.9985 1
Sb2 Sb 0.9992 0.5000 0.5003 1

=====

No. 8
# GGA-PBE CrW, relaxed
# - total DFT energy (no corrections) (eV/atom) = -8.96
# - SG = I-43m, No. 217
# - D(E_F) (states/eV per cell) = 6.8
# - total magnetization (μB per atom) = 0.77
# - density (g cm⁻³) = 6.50
# - ΔH_f (0 K) (meV per atom) = 2330.6
data_CrW
_chemical_formula_sum 'Cr4 W4'
_cell_length_a 6.7894
_cell_length_b 6.7894
_cell_length_c 6.7894
_cell_angle_alpha 109.47
_cell_angle_beta 109.47
_cell_angle_gamma 109.47
_space_group_name_H-M_alt 'P 1'
_space_group_IT_number 1
loop_
_space_group_symop_operation_xyz
'x,y,z'
loop_
_atom_site_label
_atom_site_type_symbol
_atom_site_fract_x
_atom_site_fract_y
_atom_site_fract_z
_atom_site_occupancy
Cr1 Cr 0.0000 0.0000 0.6533 1
Cr2 Cr 0.0000 0.6533 0.0000 1
Cr3 Cr 0.3467 0.3467 0.3467 1
Cr4 Cr 0.6533 0.0000 0.0000 1
W1 W 0.0000 0.0000 0.2531 1
W2 W 0.0000 0.2531 0.0000 1
W3 W 0.2531 0.0000 0.0000 1
W4 W 0.7469 0.7469 0.7469 1

=====

No. 9
# GGA-PBE Ni2CS, relaxed
# - uncorrected formation energy (meV/atom) = 291
# - total DFT energy (no corrections) (eV/atom) = -5.94
# - relative energy among the computed polymorphs (meV/atom) = 174.3
# - SG = I-42d, No. 122
# - D(E_F) (states/eV per cell) = 3.0
# - total magnetization (μB per atom) = 0.00
# - density (g cm⁻³) = 5.33
data_Ni2CS
_chemical_formula_sum 'Ni4 C2 S2'
_cell_length_a 6.0372
_cell_length_b 6.0372
_cell_length_c 6.0372
_cell_angle_alpha 137.14
_cell_angle_beta 137.14
_cell_angle_gamma 62.23
_space_group_name_H-M_alt 'P 1'
_space_group_IT_number 1
loop_
_space_group_symop_operation_xyz
'x,y,z'
loop_
_atom_site_label
_atom_site_type_symbol
_atom_site_fract_x
_atom_site_fract_y
_atom_site_fract_z
_atom_site_occupancy
Ni1 Ni 0.0490 0.6250 0.9240 1
Ni2 Ni 0.3750 0.2990 0.4240 1
Ni3 Ni 0.7010 0.1250 0.0760 1
Ni4 Ni 0.8750 0.9510 0.5760 1
C1 C 0.0000 0.0000 0.0000 1
C2 C 0.7500 0.2500 0.5000 1
S1 S 0.2500 0.7500 0.5000 1
S2 S 0.5000 0.5000 0.0000 1

=====

No. 10
# GGA-PBE NdNi6, relaxed
# - total DFT energy (no corrections) (eV/atom) = -4.84
# - relative energy among the computed polymorphs (meV/atom) = 941.7
# - SG = Pm-3m, No. 221
# - D(E_F) (states/eV per cell) = 8.0
# - total magnetization (μB per atom) = 0.61
# - density (g cm⁻³) = 5.55
# - ΔH_f (0 K) (meV per atom) = 797.9
data_NdNi6
_chemical_formula_sum 'Nd1 Ni6'
_cell_length_a 5.2973
_cell_length_b 5.2973
_cell_length_c 5.2973
_cell_angle_alpha 90.00
_cell_angle_beta 90.00
_cell_angle_gamma 90.00
_space_group_name_H-M_alt 'P 1'
_space_group_IT_number 1
loop_
_space_group_symop_operation_xyz
'x,y,z'
loop_
_atom_site_label
_atom_site_type_symbol
_atom_site_fract_x
_atom_site_fract_y
_atom_site_fract_z
_atom_site_occupancy
Nd1 Nd 0.0000 0.0000 0.0000 1
Ni1 Ni 0.1969 0.5000 0.5000 1
Ni2 Ni 0.5000 0.1969 0.5000 1
Ni3 Ni 0.5000 0.5000 0.1969 1
Ni4 Ni 0.5000 0.5000 0.8031 1
Ni5 Ni 0.5000 0.8031 0.5000 1
Ni6 Ni 0.8031 0.5000 0.5000 1

=====

No. 11
# GGA-PBE BaLiHg4, relaxed
# - total DFT energy (no corrections) (eV/atom) = -1.11
# - relative energy among the computed polymorphs (meV/atom) = 46.7
# - SG = P4/mmm, No. 123
# - D(E_F) (states/eV per cell) = 3.8
# - total magnetization (μB per atom) = 0.00
# - density (g cm⁻³) = 8.53
# - ΔH_f (0 K) (meV per atom) = -272.1
data_BaLiHg4
_chemical_formula_sum 'Ba1 Li1 Hg4'
_cell_length_a 4.6677
_cell_length_b 4.6677
_cell_length_c 8.4532
_cell_angle_alpha 90.00
_cell_angle_beta 90.00
_cell_angle_gamma 90.00
_space_group_name_H-M_alt 'P 1'
_space_group_IT_number 1
loop_
_space_group_symop_operation_xyz
'x,y,z'
loop_
_atom_site_label
_atom_site_type_symbol
_atom_site_fract_x
_atom_site_fract_y
_atom_site_fract_z
_atom_site_occupancy
Ba1 Ba 0.0000 0.0000 0.0000 1
Li1 Li 0.5000 0.5000 0.5000 1
Hg1 Hg 0.0000 0.5000 0.3132 1
Hg2 Hg 0.0000 0.5000 0.6868 1
Hg3 Hg 0.5000 0.0000 0.3132 1
Hg4 Hg 0.5000 0.0000 0.6868 1

=====

No. 12
# GGA-PBE MgBPS2, relaxed
# - uncorrected formation energy (meV/atom) = 326
# - total DFT energy (no corrections) (eV/atom) = -4.06
# - relative energy among the computed polymorphs (meV/atom) = 0.0
# - SG = P4/mmm, No. 123
# - D(E_F) (states/eV per cell) = 1.0
# - total magnetization (μB per atom) = 0.00
# - density (g cm⁻³) = 2.73
data_MgBPS2
_chemical_formula_sum 'Mg1 B1 P1 S2'
_cell_length_a 4.6197
_cell_length_b 4.6197
_cell_length_c 3.7081
_cell_angle_alpha 90.00
_cell_angle_beta 90.00
_cell_angle_gamma 90.00
_space_group_name_H-M_alt 'P 1'
_space_group_IT_number 1
loop_
_space_group_symop_operation_xyz
'x,y,z'
loop_
_atom_site_label
_atom_site_type_symbol
_atom_site_fract_x
_atom_site_fract_y
_atom_site_fract_z
_atom_site_occupancy
Mg1 Mg 0.0000 0.0000 0.0000 1
B1 B 0.5000 0.5000 0.5000 1
P1 P 0.5000 0.5000 0.0000 1
S1 S 0.0000 0.5000 0.5000 1
S2 S 0.5000 0.0000 0.5000 1